# 1
# Pm6TlAg5

A relaxed Pm6TlAg5 crystal (GGA-PBE, the Alexandria database).

The structure in CIF format:
```
data_Pm6TlAg5
_chemical_formula_sum 'Pm12 Tl2 Ag10'
_cell_length_a 7.648
_cell_length_b 11.492
_cell_length_c 8.078
_cell_angle_alpha 90.00
_cell_angle_beta 102.46
_cell_angle_gamma 90.00
_space_group_name_H-M_alt 'C 1 2/m 1'
_space_group_IT_number 12
_space_group_name_Hall '-C 2y'
loop_
_atom_site_label
_atom_site_type_symbol
_atom_site_fract_x
_atom_site_fract_y
_atom_site_fract_z
Pm1 Pm 0.185 0.000 0.201
Pm2 Pm 0.221 0.176 0.718
Tl1 Tl 0.000 0.500 0.000
Ag1 Ag 0.000 0.000 0.500
Ag2 Ag 0.000 0.219 0.000
Ag3 Ag 0.000 0.380 0.500
```

Computed properties:
As for the formation energy: -9.9 kJ per mole of atoms. The calculation puts the energy relative to the lowest polymorph listed for this composition at 0.1826 eV per atom. The volume comes out at 28.89 Å³ per atom.

# 2
# YTlBr4

A relaxed YTlBr4 crystal (GGA-PBE, the Alexandria database).

The structure in CIF format:
```
data_YTlBr4
_chemical_formula_sum 'Y2 Tl2 Br8'
_cell_length_a 13.682
_cell_length_b 4.282
_cell_length_c 8.412
_cell_angle_alpha 90.00
_cell_angle_beta 103.43
_cell_angle_gamma 90.00
_space_group_name_H-M_alt 'C 1 2/m 1'
_space_group_IT_number 12
_space_group_name_Hall '-C 2y'
loop_
_atom_site_label
_atom_site_type_symbol
_atom_site_fract_x
_atom_site_fract_y
_atom_site_fract_z
Y1 Y 0.000 0.000 0.000
Tl1 Tl 0.000 0.500 0.500
Br1 Br 0.117 0.500 0.911
Br2 Br 0.120 0.000 0.313
```

Computed properties:
The calculation puts the energy relative to the lowest polymorph listed for this composition at 0.0000 eV per atom. The volume comes out at 39.94 Å³ per atom. The calculation puts the formation energy without anion corrections at -1.529 eV per atom.

# 3
# CaZn

A relaxed CaZn crystal (GGA-PBE, the Alexandria database).

The structure in CIF format:
```
data_CaZn
_chemical_formula_sum 'Ca6 Zn6'
_cell_length_a 13.129
_cell_length_b 3.679
_cell_length_c 7.197
_cell_angle_alpha 90.00
_cell_angle_beta 114.64
_cell_angle_gamma 90.00
_space_group_name_H-M_alt 'C 1 m 1'
_space_group_IT_number 8
_space_group_name_Hall 'C -2y'
loop_
_atom_site_label
_atom_site_type_symbol
_atom_site_fract_x
_atom_site_fract_y
_atom_site_fract_z
Ca1 Ca 0.000 0.000 0.000
Ca2 Ca 0.036 0.000 0.538
Ca3 Ca 0.288 0.000 0.135
Zn1 Zn 0.176 0.500 0.361
Zn2 Zn 0.246 0.500 0.762
Zn3 Zn 0.339 0.000 0.608
```

Computed properties:
As for the formation energy: -13.9 kJ per mole of atoms. The volume comes out at 26.33 Å³ per atom.

# 4
# Zr2TaCo

A relaxed Zr2TaCo crystal (GGA-PBE, the Alexandria database).

The structure in CIF format:
```
data_Zr2TaCo
_chemical_formula_sum 'Zr2 Ta1 Co1'
_cell_length_a 3.330
_cell_length_b 4.483
_cell_length_c 4.867
_cell_angle_alpha 90.00
_cell_angle_beta 90.00
_cell_angle_gamma 90.00
_space_group_name_H-M_alt 'P m m m'
_space_group_IT_number 47
_space_group_name_Hall '-P 2 2'
loop_
_atom_site_label
_atom_site_type_symbol
_atom_site_fract_x
_atom_site_fract_y
_atom_site_fract_z
Zr1 Zr 0.000 0.000 0.000
Zr2 Zr 0.500 0.000 0.500
Ta1 Ta 0.000 0.500 0.500
Co1 Co 0.500 0.500 0.000
```

Computed properties:
As for the formation energy: 13.4 kJ per mole of atoms. The calculation puts the energy relative to the lowest polymorph listed for this composition at 0.2223 eV per atom. The volume comes out at 18.16 Å³ per atom.

# 5
# CoSiN2

A relaxed CoSiN2 crystal (GGA-PBE, the Alexandria database).

The structure in CIF format:
```
data_CoSiN2
_chemical_formula_sum 'Co3 Si3 N6'
_cell_length_a 2.8199
_cell_length_b 2.8199
_cell_length_c 16.7661
_cell_angle_alpha 90.00
_cell_angle_beta 90.00
_cell_angle_gamma 120.00
_space_group_name_H-M_alt 'R -3 m'
_space_group_IT_number 166
_space_group_name_Hall '-R 3 2"'
loop_
_atom_site_label
_atom_site_type_symbol
_atom_site_fract_x
_atom_site_fract_y
_atom_site_fract_z
Co1 Co 0.0000 0.0000 0.0000
Si1 Si 0.0000 0.0000 0.5000
N1 N 0.0000 0.0000 0.3949
```

Computed properties:
The volume comes out at 9.62 Å³ per atom. The calculation puts the formation energy without anion corrections at 0.243 eV per atom.

# 6
# CaZnPt2

A relaxed CaZnPt2 crystal (GGA-PBE, the Alexandria database).

The structure in CIF format:
```
data_CaZnPt2
_chemical_formula_sum 'Ca2 Zn2 Pt4'
_cell_length_a 3.871
_cell_length_b 4.086
_cell_length_c 8.864
_cell_angle_alpha 90.00
_cell_angle_beta 90.00
_cell_angle_gamma 90.00
_space_group_name_H-M_alt 'I m m 2'
_space_group_IT_number 44
_space_group_name_Hall 'I 2 -2'
loop_
_atom_site_label
_atom_site_type_symbol
_atom_site_fract_x
_atom_site_fract_y
_atom_site_fract_z
Ca1 Ca 0.000 0.000 0.000
Zn1 Zn 0.000 0.500 0.243
Pt1 Pt 0.000 0.000 0.507
Pt2 Pt 0.000 0.500 0.755
```

Computed properties:
As for the formation energy: -55.4 kJ per mole of atoms. The volume comes out at 17.52 Å³ per atom.

# 7
# YZnP2

A relaxed YZnP2 crystal (GGA-PBE, the Alexandria database).

The structure in CIF format:
```
data_YZnP2
_chemical_formula_sum 'Y1 Zn1 P2'
_cell_length_a 3.905
_cell_length_b 3.863
_cell_length_c 5.544
_cell_angle_alpha 90.00
_cell_angle_beta 91.17
_cell_angle_gamma 90.00
_space_group_name_H-M_alt 'P 1 2/m 1'
_space_group_IT_number 10
_space_group_name_Hall '-P 2y'
loop_
_atom_site_label
_atom_site_type_symbol
_atom_site_fract_x
_atom_site_fract_y
_atom_site_fract_z
Y1 Y 0.000 0.000 0.000
Zn1 Zn 0.500 0.500 0.500
P1 P 0.000 0.000 0.500
P2 P 0.500 0.500 0.000
```

Computed properties:
As for the formation energy: -50.0 kJ per mole of atoms. The volume comes out at 20.91 Å³ per atom.

# 8
# Ca4BiH

A relaxed Ca4BiH crystal (GGA-PBE, the Alexandria database).

The structure in CIF format:
```
data_Ca4BiH
_chemical_formula_sum 'Ca16 Bi4 H4'
_cell_length_a 8.636
_cell_length_b 16.284
_cell_length_c 6.487
_cell_angle_alpha 90.00
_cell_angle_beta 124.60
_cell_angle_gamma 90.00
_space_group_name_H-M_alt 'C 1 2/c 1'
_space_group_IT_number 15
_space_group_name_Hall '-C 2yc'
loop_
_atom_site_label
_atom_site_type_symbol
_atom_site_fract_x
_atom_site_fract_y
_atom_site_fract_z
Ca1 Ca 0.152 0.220 0.150
Ca2 Ca 0.223 0.055 0.662
Bi1 Bi 0.000 0.393 0.750
H1 H 0.000 0.005 0.250
```

Computed properties:
For the raw total energy, the calculation gives -69.81 eV/cell. The volume comes out at 31.29 Å³ per atom.